[1]
The following is a DFT calculation (GGA-PBE) of a relaxed AgAs2RuSe crystal.

The space group is P4/mmm (No. 123) and the conventional cell measures 4.620, 4.620 and 5.511 Å, with angles of 90.00, 90.00 and 90.00 degrees. Symmetry generates all atoms from Ag at (0.000, 0.000, 0.000), As at (0.000, 0.500, 0.500), Ru at (0.500, 0.500, 0.500) and Se at (0.500, 0.500, 0.000).

For the uncorrected formation energy, the calculation gives 48.0 kJ/mol of atoms. The total energy comes out at -22.425 eV for the cell shown. As for the excess energy over the best structure of this formula in the dataset: 0.0 kJ/mol of atoms.


[2]
The following is a DFT calculation (GGA-PBE) of a relaxed FePt2Se crystal.

The space group is Cmmm (No. 65) and the conventional cell measures 5.573, 7.863 and 2.864 Å, with angles of 90.00, 90.00 and 90.00 degrees. Symmetry generates all atoms from Fe at (0.000, 0.000, 0.000), Pt at (0.250, 0.250, 0.500) and Se at (0.000, 0.500, 0.000).

For the uncorrected formation energy, the calculation gives 14.9 kJ/mol of atoms. The total energy comes out at -46.824 eV for the cell shown.